# 1
Material: GaFe2NiC
Method: DFT, PBE
State: optimized geometry

electronic total energy = -7.05 eV per atom
V = 53.6 Å³ per cell

a = 3.754 Å, b = 3.754 Å, c = 3.805 Å
α = 90.00°, β = 90.00°, γ = 90.00°
Sites, in units of the cell vectors:
Ga1 0.000 0.000 0.000
Fe1 0.000 0.500 0.500
Fe2 0.500 0.000 0.500
Ni1 0.500 0.500 0.000
C1 0.500 0.500 0.500

# 2
Material: GaFe2OsC
Method: DFT, PBE
State: optimized geometry

electronic total energy = -7.99 eV per atom
V = 58.8 Å³ per cell

a = 3.824 Å, b = 3.824 Å, c = 4.022 Å
α = 90.00°, β = 90.00°, γ = 90.00°
Sites, in units of the cell vectors:
Ga1 0.000 0.000 0.000
Fe1 0.000 0.500 0.500
Fe2 0.500 0.000 0.500
Os1 0.500 0.500 0.000
C1 0.500 0.500 0.500

# 3
Material: Pa2Ga2Fe2C
Method: DFT, PBE
State: optimized geometry

electronic total energy = -7.62 eV per atom
V = 115.6 Å³ per cell

a = 5.718 Å, b = 5.718 Å, c = 7.001 Å
α = 126.68°, β = 126.68°, γ = 40.98°
Sites, in units of the cell vectors:
Pa1 0.039 0.039 0.310
Pa2 0.961 0.961 0.690
Ga1 0.337 0.337 0.868
Ga2 0.663 0.663 0.132
Fe1 0.309 0.309 0.192
Fe2 0.691 0.691 0.808
C1 0.500 0.500 0.500

# 4
Material: Pm3Ga2Fe3C
Method: DFT, PBE
State: optimized geometry

electronic total energy = -6.07 eV per atom
V = 172.0 Å³ per cell

a = 6.981 Å, b = 6.981 Å, c = 4.076 Å
α = 90.00°, β = 90.00°, γ = 120.00°
Sites, in units of the cell vectors:
Pm1 0.000 0.634 0.000
Pm2 0.366 0.366 0.000
Pm3 0.634 0.000 0.000
Ga1 0.333 0.667 0.500
Ga2 0.667 0.333 0.500
Fe1 0.000 0.197 0.500
Fe2 0.197 0.000 0.500
Fe3 0.803 0.803 0.500
C1 0.000 0.000 0.000

# 5
Material: Pr2Ga2Fe2C
Method: DFT, PBE
State: optimized geometry

electronic total energy = -6.33 eV per atom
V = 128.1 Å³ per cell

a = 5.949 Å, b = 5.949 Å, c = 7.273 Å
α = 127.02°, β = 127.02°, γ = 40.45°
Sites, in units of the cell vectors:
Pr1 0.056 0.056 0.289
Pr2 0.944 0.944 0.711
Ga1 0.326 0.326 0.266
Ga2 0.674 0.674 0.734
Fe1 0.311 0.311 0.916
Fe2 0.689 0.689 0.084
C1 0.500 0.500 0.000

# 6
Material: PuGaFe2C
Method: DFT, PBE
State: optimized geometry

electronic total energy = -8.79 eV per atom
V = 141.5 Å³ per cell

a = 5.671 Å, b = 5.671 Å, c = 7.177 Å
α = 90.00°, β = 90.00°, γ = 142.20°
Sites, in units of the cell vectors:
Pu1 0.040 0.960 0.750
Pu2 0.960 0.040 0.250
Ga1 0.236 0.764 0.250
Ga2 0.764 0.236 0.750
Fe1 0.333 0.667 0.555
Fe2 0.333 0.667 0.945
Fe3 0.667 0.333 0.055
Fe4 0.667 0.333 0.445
C1 0.500 0.500 0.000
C2 0.500 0.500 0.500